# LiLuSb2

A relaxed structure of LiLuSb2 (PBE-GGA, Alexandria).

Calculated values
M_tot in μB per cell: 0.00
Offset from the most stable computed form in kcal/mol of atoms: 0.000
Final energy in eV/atom: -4.24
Uncorrected formation energy in eV/atom: -0.57

Cell lengths 4.079, 4.847, 4.847 Å; angles 90.00, 90.00, 90.00 degrees
Fractional positions:
Li 0.500 0.000 0.000
Sb 0.000 0.500 0.000
Sb 0.000 0.000 0.500
Lu 0.500 0.500 0.500

=====

# LiBe3

A relaxed structure of LiBe3 (PBE-GGA, Alexandria).

Calculated values
M_tot in μB per cell: 0.00
Offset from the most stable computed form in kcal/mol of atoms: 2.905
E_form in eV/f.u.: 0.62
Final energy in eV/atom: -3.12

Cell lengths 4.033, 4.033, 4.254 Å; angles 82.76, 82.76, 32.29 degrees
Fractional positions:
Li 0.000 0.000 0.000
Be 0.232 0.232 0.271
Be 0.768 0.768 0.729
Be 0.500 0.500 0.500

=====

# PrDyCuNi

A relaxed structure of PrDyCuNi (PBE-GGA, Alexandria).

Calculated values
M_tot in μB per cell: 0.00
Offset from the most stable computed form in kcal/mol of atoms: 1.069
E_form in eV/f.u.: -0.93
Final energy in eV/atom: -5.05

Cell lengths 4.949, 4.949, 4.949 Å; angles 60.00, 60.00, 60.00 degrees
Fractional positions:
Ni 0.750 0.750 0.750
Cu 0.250 0.250 0.250
Dy 0.000 0.000 0.000
Pr 0.500 0.500 0.500